1 | The following is a PBE calculation of a relaxed structure of Pm3SnP, from Alexandria.

The structure in POSCAR format:
```
Pm3SnP
1.0
8.721 0.000 0.000
0.000 4.307 0.000
0.000 0.000 15.301
Pm Sn P
12 4 4
direct
0.022 0.250 0.108
0.156 0.250 0.517
0.184 0.750 0.285
0.316 0.250 0.785
0.344 0.750 0.017
0.478 0.750 0.608
0.522 0.250 0.392
0.656 0.250 0.983
0.684 0.750 0.215
0.816 0.250 0.715
0.844 0.750 0.483
0.978 0.750 0.892
0.095 0.750 0.678
0.405 0.250 0.178
0.595 0.750 0.822
0.905 0.250 0.322
0.173 0.250 0.945
0.327 0.750 0.445
0.673 0.250 0.555
0.827 0.750 0.055
```

Results
As for the density of states at the Fermi level: 3.6 states/eV/f.u. Its density is 6.8 g/cm³.

2 | The following is a PBE calculation of a relaxed structure of Pm3SnP, from Alexandria.

The structure in POSCAR format:
```
Pm3SnP
1.0
5.392 0.000 0.000
0.000 5.392 0.000
0.000 0.000 5.392
Pm Sn P
3 1 1
direct
0.000 0.000 0.500
0.000 0.500 0.000
0.500 0.000 0.000
0.500 0.500 0.500
0.000 0.000 0.000
```

Results
As for the density of states at the Fermi level: 3.5 states/eV/f.u. Its density is 6.2 g/cm³.

Most stable = 1

1 | The following is a PBE calculation of a relaxed structure of SrPmP2, from Alexandria.

The structure in POSCAR format:
```
SrPmP2
1.0
7.267 0.000 0.000
0.000 7.267 0.000
0.000 0.000 7.267
Sr Pm P
4 4 8
direct
0.000 0.000 0.000
0.000 0.500 0.500
0.500 0.000 0.500
0.500 0.500 0.000
0.000 0.000 0.500
0.000 0.500 0.000
0.500 0.000 0.000
0.500 0.500 0.500
0.250 0.250 0.250
0.250 0.250 0.750
0.250 0.750 0.250
0.250 0.750 0.750
0.750 0.250 0.250
0.750 0.250 0.750
0.750 0.750 0.250
0.750 0.750 0.750
```

Results
As for the density of states at the Fermi level: 2.6 states/eV/f.u. Its density is 5.1 g/cm³.

2 | The following is a PBE calculation of a relaxed structure of SrPmP2, from Alexandria.

The structure in POSCAR format:
```
SrPmP2
1.0
5.403 0.000 0.000
0.000 5.403 0.000
0.000 0.000 3.208
Sr Pm P
1 1 2
direct
0.000 0.000 0.000
0.500 0.500 0.000
0.000 0.500 0.500
0.500 0.000 0.500
```

Results
As for the density of states at the Fermi level: 1.8 states/eV/f.u. Its density is 5.2 g/cm³.

3 | The following is a PBE calculation of a relaxed structure of SrPmP2, from Alexandria.

The structure in POSCAR format:
```
SrPmP2
1.0
4.163 0.000 0.000
-2.082 3.605 0.000
0.000 0.000 22.066
Sr Pm P
3 3 6
direct
0.000 0.000 0.000
0.333 0.667 0.667
0.667 0.333 0.333
0.000 0.000 0.172
0.333 0.667 0.839
0.667 0.333 0.506
0.000 0.000 0.579
0.000 0.000 0.761
0.333 0.667 0.246
0.333 0.667 0.428
0.667 0.333 0.095
0.667 0.333 0.912
```

Results
As for the density of states at the Fermi level: 3.2 states/eV/f.u. Its density is 4.4 g/cm³.

4 | The following is a PBE calculation of a relaxed structure of SrPmP2, from Alexandria.

The structure in POSCAR format:
```
SrPmP2
1.0
4.212 0.000 0.000
-2.106 3.647 0.000
0.000 0.000 21.261
Sr Pm P
3 3 6
direct
0.000 0.000 0.000
0.333 0.667 0.667
0.667 0.333 0.333
0.000 0.000 0.500
0.333 0.667 0.167
0.667 0.333 0.833
0.000 0.000 0.243
0.000 0.000 0.757
0.333 0.667 0.424
0.333 0.667 0.909
0.667 0.333 0.091
0.667 0.333 0.576
```

Results
As for the density of states at the Fermi level: 4.0 states/eV/f.u. Its density is 4.5 g/cm³.

Most stable = 4

1 | The following is a PBE calculation of a relaxed structure of TbPmP, from Alexandria.

The structure in POSCAR format:
```
TbPmP
1.0
3.968 0.000 0.000
-1.984 3.437 0.000
0.000 0.000 6.536
Tb Pm P
1 1 1
direct
0.000 0.000 0.000
0.333 0.667 0.509
0.667 0.333 0.762
```

Results
As for the density of states at the Fermi level: 4.3 states/eV/f.u. Its density is 6.2 g/cm³.

2 | The following is a PBE calculation of a relaxed structure of TbPmP, from Alexandria.

The structure in POSCAR format:
```
TbPmP
1.0
3.544 0.000 0.000
0.000 3.544 0.000
0.000 0.000 12.719
Tb Pm P
2 2 2
direct
0.000 0.000 0.000
0.500 0.500 0.500
0.000 0.000 0.255
0.500 0.500 0.755
0.000 0.000 0.622
0.500 0.500 0.122
```

Results
As for the density of states at the Fermi level: 2.9 states/eV/f.u. Its density is 7.0 g/cm³.

Most stable = 1

1 | The following is a PBE calculation of a relaxed structure of TbPmP, from Alexandria.

The structure in POSCAR format:
```
TbPmP
1.0
12.996 0.000 0.000
0.000 3.972 0.000
-1.200 0.000 6.777
Tb Pm P
4 4 4
direct
0.125 0.000 0.379
0.375 0.500 0.621
0.625 0.500 0.379
0.875 0.000 0.621
0.123 0.500 0.871
0.377 0.000 0.129
0.623 0.000 0.871
0.877 0.500 0.129
0.247 0.500 0.253
0.253 0.000 0.747
0.747 0.000 0.253
0.753 0.500 0.747
```

Results
As for the density of states at the Fermi level: 3.8 states/eV/f.u. Its density is 6.4 g/cm³.

2 | The following is a PBE calculation of a relaxed structure of TbPmP, from Alexandria.

The structure in POSCAR format:
```
TbPmP
1.0
6.758 0.000 0.000
0.000 6.758 0.000
0.000 0.000 6.758
Tb Pm P
4 4 4
direct
0.000 0.000 0.000
0.000 0.500 0.500
0.500 0.000 0.500
0.500 0.500 0.000
0.000 0.000 0.500
0.000 0.500 0.000
0.500 0.000 0.000
0.500 0.500 0.500
0.250 0.250 0.750
0.250 0.750 0.250
0.750 0.250 0.250
0.750 0.750 0.750
```

Results
As for the density of states at the Fermi level: 2.0 states/eV/f.u. Its density is 7.2 g/cm³.

Most stable = 1

1 | The following is a PBE calculation of a relaxed structure of TbPmP2, from Alexandria.

The structure in POSCAR format:
```
TbPmP2
1.0
4.082 0.000 0.000
-2.041 3.535 0.000
0.000 0.000 19.974
Tb Pm P
3 3 6
direct
0.000 0.000 0.000
0.333 0.667 0.667
0.667 0.333 0.333
0.000 0.000 0.500
0.333 0.667 0.167
0.667 0.333 0.833
0.000 0.000 0.252
0.000 0.000 0.748
0.333 0.667 0.415
0.333 0.667 0.919
0.667 0.333 0.081
0.667 0.333 0.585
```

Results
As for the density of states at the Fermi level: 0.4 states/eV/f.u. Its density is 6.3 g/cm³.

2 | The following is a PBE calculation of a relaxed structure of TbPmP2, from Alexandria.

The structure in POSCAR format:
```
TbPmP2
1.0
4.040 0.000 0.000
-2.020 3.499 0.000
0.000 0.000 20.831
Tb Pm P
3 3 6
direct
0.000 0.000 0.000
0.333 0.667 0.667
0.667 0.333 0.333
0.000 0.000 0.828
0.333 0.667 0.495
0.667 0.333 0.162
0.000 0.000 0.249
0.000 0.000 0.414
0.333 0.667 0.080
0.333 0.667 0.916
0.667 0.333 0.582
0.667 0.333 0.747
```

Results
As for the density of states at the Fermi level: 0.3 states/eV/f.u. Its density is 6.2 g/cm³.

3 | The following is a PBE calculation of a relaxed structure of TbPmP2, from Alexandria.

The structure in POSCAR format:
```
TbPmP2
1.0
7.044 0.000 0.000
0.000 7.044 0.000
0.000 0.000 7.044
Tb Pm P
4 4 8
direct
0.000 0.000 0.000
0.000 0.500 0.500
0.500 0.000 0.500
0.500 0.500 0.000
0.000 0.000 0.500
0.000 0.500 0.000
0.500 0.000 0.000
0.500 0.500 0.500
0.250 0.250 0.250
0.250 0.250 0.750
0.250 0.750 0.250
0.250 0.750 0.750
0.750 0.250 0.250
0.750 0.250 0.750
0.750 0.750 0.250
0.750 0.750 0.750
```

Results
As for the density of states at the Fermi level: 1.6 states/eV/f.u. Its density is 7.0 g/cm³.

4 | The following is a PBE calculation of a relaxed structure of TbPmP2, from Alexandria.

The structure in POSCAR format:
```
TbPmP2
1.0
4.037 0.000 0.000
-2.019 3.496 0.000
0.000 0.000 7.083
Tb Pm P
1 1 2
direct
0.000 0.000 0.000
0.000 0.000 0.500
0.333 0.667 0.244
0.667 0.333 0.756
```

Results
As for the density of states at the Fermi level: 0.5 states/eV/f.u. Its density is 6.1 g/cm³.

Most stable = 1